## AcTbNdLu (GGA-PBE)

Data for an optimized crystal structure of AcTbNdLu.

abc: 5.8519 5.8519 5.8519
angles: 60.00 60.00 60.00
Fractional positions:
1 Nd 0.2500 0.2500 0.2500
2 Ac 0.5000 0.5000 0.5000
3 Lu 0.0000 0.0000 0.0000
4 Tb 0.7500 0.7500 0.7500

Results
Energy of formation from the pure elements: 0.18 eV per atom
M_tot: 0.0 μB per formula unit
Raw total energy: -0.159 Ha/atom
Volume: 142 Å³ per cell
Space-group type: No. 216